The following is a PBE+U calculation of a relaxed MnWF6 crystal, from the Alexandria database.

Cell: 5.4896 5.4879 5.8422 Å, 61.98 61.97 59.99°
With the nearest neighbours (Å) after each atom.
Fractional positions:
F 0.7616 0.1423 0.7541  1 W 2.02, 1 Mn 2.14
F 0.1421 0.3424 0.7545  1 W 2.02, 1 Mn 2.14
F 0.3425 0.7618 0.7538  1 W 2.02, 1 Mn 2.14
F 0.6575 0.2382 0.2462  1 W 2.02, 1 Mn 2.14
F 0.8579 0.6576 0.2455  1 W 2.02, 1 Mn 2.14
F 0.2384 0.8577 0.2459  1 W 2.02, 1 Mn 2.14
Mn 0.5000 0.5000 0.5000  6 F 2.14
W 0.0000 0.0000 0.0000  6 F 2.02

## Properties
Symmetry: R-3, No. 148
DFT total energy: -5.967 eV per atom
Density: 4575 kg/m³
DOS(E_F): 0.000 states/eV/atom